Record 1
Sm7Ho2Er3 | PBE | relaxed

Output
Energy above the most stable polymorph in this dataset ... 0.000 eV/atom
Space-group type ... Cmmm (65)
Raw total energy ... -4.54 eV/atom
Formation enthalpy at 0 K ... 0.12 eV/atom

Lattice parameters (Å, degrees): 19.1643 19.1643 3.6110 90.00 90.00 162.77
With the nearest neighbours (Å) after each atom.
Sites, in units of the cell vectors:
1 Sm 0.0000 0.0000 0.0000  6 Sm 3.29-3.61, 4 Er 3.39
2 Sm 0.0725 0.9275 0.5000  8 Sm 3.29-3.61, 2 Ho 3.41
3 Sm 0.2320 0.7680 0.0000  1 Ho 3.16, 2 Sm 3.18
4 Sm 0.4074 0.5926 0.0000  6 Sm 3.48-3.61, 2 Ho 3.57
5 Sm 0.5926 0.4074 0.0000  6 Sm 3.48-3.61, 2 Ho 3.57
6 Sm 0.7680 0.2320 0.0000  1 Ho 3.16, 2 Sm 3.18
7 Sm 0.9275 0.0725 0.5000  8 Sm 3.29-3.61, 2 Ho 3.41
8 Ho 0.1487 0.8513 0.0000  3 Sm 3.16-3.41
9 Ho 0.8513 0.1487 0.0000  3 Sm 3.16-3.41
10 Er 0.3153 0.6847 0.5000  2 Er 3.61, 8 Sm 3.64-3.93, 4 Ho 3.66
11 Er 0.5000 0.5000 0.5000  4 Sm 3.39, 2 Er 3.61
12 Er 0.6847 0.3153 0.5000  2 Er 3.61, 8 Sm 3.64-3.93, 4 Ho 3.66


Record 2
AcThAsSe | PBE | relaxed

Output
Formation energy from raw total energies ... -147.1 kJ/mol of atoms
Space-group type ... R3m (160)
Raw total energy ... -6.44 eV/atom

Lattice parameters (Å, degrees): 4.2498 4.2498 22.9142 90.00 90.00 120.00
With the nearest neighbours (Å) after each atom.
Sites, in units of the cell vectors:
1 Ac 0.0000 0.0000 0.0000  3 As 3.10, 3 Se 3.31
2 Ac 0.3333 0.6667 0.6667  3 As 3.10, 3 Se 3.31
3 Ac 0.6667 0.3333 0.3333  3 As 3.10, 3 Se 3.31
4 Th 0.0000 0.0000 0.8195  3 As 2.93, 3 Se 3.11
5 Th 0.3333 0.6667 0.4862  3 As 2.93, 3 Se 3.11
6 Th 0.6667 0.3333 0.1529  3 As 2.93, 3 Se 3.11
7 As 0.0000 0.0000 0.4161  3 Th 2.93, 3 Ac 3.10
8 As 0.3333 0.6667 0.0827  3 Th 2.93, 3 Ac 3.10
9 As 0.6667 0.3333 0.7494  3 Th 2.93, 3 Ac 3.10
10 Se 0.0000 0.0000 0.2362  3 Th 3.11, 3 Ac 3.31
11 Se 0.3333 0.6667 0.9028  3 Th 3.11, 3 Ac 3.31
12 Se 0.6667 0.3333 0.5695  3 Th 3.11, 3 Ac 3.31


Record 3
Sm2Cd5Pd | PBE | relaxed

Output
Space-group type ... Cmcm (63)
Raw total energy ... -2.73 eV/atom
Formation enthalpy at 0 K ... -0.33 eV/atom

Lattice parameters (Å, degrees): 10.0459 10.0459 10.2002 90.00 90.00 157.48
With the nearest neighbours (Å) after each atom.
Sites, in units of the cell vectors:
1 Sm 0.0000 0.0000 0.0000  4 Cd 3.22, 4 Pd 3.37
2 Sm 0.0000 0.0000 0.5000  4 Cd 3.22, 4 Pd 3.37
3 Sm 0.1638 0.8362 0.7500  2 Pd 2.97, 4 Cd 3.16
4 Sm 0.8362 0.1638 0.2500  2 Pd 2.97, 4 Cd 3.16
5 Cd 0.2178 0.7822 0.1072  6 Cd 2.91-3.20
6 Cd 0.2178 0.7822 0.3928  6 Cd 2.91-3.20
7 Cd 0.3704 0.6296 0.0160  4 Cd 2.82-3.15, 1 Pd 2.85, 2 Sm 3.16
8 Cd 0.3704 0.6296 0.4840  4 Cd 2.82-3.15, 1 Pd 2.85, 2 Sm 3.16
9 Cd 0.4103 0.5897 0.7500  1 Pd 2.77, 2 Cd 2.82
10 Cd 0.5897 0.4103 0.2500  1 Pd 2.77, 2 Cd 2.82
11 Cd 0.6296 0.3704 0.5160  4 Cd 2.82-3.15, 1 Pd 2.85, 2 Sm 3.16
12 Cd 0.6296 0.3704 0.9840  4 Cd 2.82-3.15, 1 Pd 2.85, 2 Sm 3.16
13 Cd 0.7822 0.2178 0.6072  6 Cd 2.91-3.20
14 Cd 0.7822 0.2178 0.8928  6 Cd 2.91-3.20
15 Pd 0.4493 0.5507 0.2500  3 Cd 2.77-2.85, 2 Sm 2.97
16 Pd 0.5507 0.4493 0.7500  3 Cd 2.77-2.85, 2 Sm 2.97


Record 4
MnSi2Te | PBE | relaxed

Output
Formation energy from raw total energies ... 23.2 kJ/mol of atoms
Space-group type ... P4mm (99)
Raw total energy ... -5.55 eV/atom

Lattice parameters (Å, degrees): 3.0660 3.0660 7.1996 90.00 90.00 90.00
With the nearest neighbours (Å) after each atom.
Sites, in units of the cell vectors:
1 Mn 0.0000 0.0000 0.0000  5 Si 2.49-2.57, 4 Te 2.76
2 Si 0.0000 0.0000 0.3574  4 Si 2.56, 1 Mn 2.57
3 Si 0.5000 0.5000 0.1693  4 Mn 2.49, 4 Si 2.56
4 Te 0.5000 0.5000 0.7633  4 Mn 2.76, 1 Si 2.92, 4 Te 3.07


Record 5
Nb4CrSe8 | PBE | relaxed

Output
Formation energy from raw total energies ... -66.8 kJ/mol of atoms
Energy above the most stable polymorph in this dataset ... 0.011 eV/atom
Space-group type ... R-3m (166)
Raw total energy ... -6.68 eV/atom

Lattice parameters (Å, degrees): 7.8934 7.8934 7.8934 52.43 52.43 52.43
With the nearest neighbours (Å) after each atom.
Sites, in units of the cell vectors:
1 Nb 0.0000 0.0000 0.0000  6 Se 2.65
2 Nb 0.0000 0.5000 0.5000  6 Se 2.62-2.64
3 Nb 0.5000 0.0000 0.5000  6 Se 2.62-2.64
4 Nb 0.5000 0.5000 0.0000  6 Se 2.62-2.64
5 Cr 0.5000 0.5000 0.5000  6 Se 2.62
6 Se 0.2497 0.7490 0.7490  1 Cr 2.62, 3 Nb 2.64-2.65
7 Se 0.2509 0.2509 0.2509  3 Nb 2.62
8 Se 0.2510 0.2510 0.7503  1 Cr 2.62, 3 Nb 2.64-2.65
9 Se 0.2510 0.7503 0.2510  1 Cr 2.62, 3 Nb 2.64-2.65
10 Se 0.7490 0.2497 0.7490  1 Cr 2.62, 3 Nb 2.64-2.65
11 Se 0.7490 0.7490 0.2497  1 Cr 2.62, 3 Nb 2.64-2.65
12 Se 0.7491 0.7491 0.7491  3 Nb 2.62
13 Se 0.7503 0.2510 0.2510  1 Cr 2.62, 3 Nb 2.64-2.65


Record 6
PbAuSe2 | PBE | relaxed

Output
Formation energy from raw total energies ... 10.7 kJ/mol of atoms
Space-group type ... Cmmm (65)
Raw total energy ... -3.38 eV/atom

Lattice parameters (Å, degrees): 6.9672 7.0080 3.8317 90.00 90.00 90.00
With the nearest neighbours (Å) after each atom.
Sites, in units of the cell vectors:
1 Pb 0.0000 0.0000 0.0000  8 Se 3.13, 2 Au 3.48
2 Pb 0.5000 0.5000 0.0000  8 Se 3.13, 2 Au 3.48
3 Au 0.0000 0.5000 0.0000  8 Se 3.13, 2 Pb 3.48
4 Au 0.5000 0.0000 0.0000  8 Se 3.13, 2 Pb 3.48
5 Se 0.2500 0.2500 0.5000  4 Pb 3.13, 4 Au 3.13, 2 Se 3.48
6 Se 0.2500 0.7500 0.5000  4 Pb 3.13, 4 Au 3.13, 2 Se 3.48
7 Se 0.7500 0.2500 0.5000  4 Pb 3.13, 4 Au 3.13, 2 Se 3.48
8 Se 0.7500 0.7500 0.5000  4 Pb 3.13, 4 Au 3.13, 2 Se 3.48


Record 7
Pm6MgS8 | PBE | relaxed

Output
Formation energy from raw total energies ... -190.6 kJ/mol of atoms
Space-group type ... Fm-3m (225)
Raw total energy ... -6.18 eV/atom

Lattice parameters (Å, degrees): 8.0125 8.0125 8.0125 60.00 60.00 60.00
With the nearest neighbours (Å) after each atom.
Sites, in units of the cell vectors:
1 Pm 0.0000 0.0000 0.5000  6 S 2.83-2.84
2 Pm 0.0000 0.5000 0.0000  6 S 2.83-2.84
3 Pm 0.0000 0.5000 0.5000  6 S 2.83-2.84
4 Pm 0.5000 0.0000 0.0000  6 S 2.83-2.84
5 Pm 0.5000 0.0000 0.5000  6 S 2.83-2.84
6 Pm 0.5000 0.5000 0.0000  6 S 2.83-2.84
7 Mg 0.0000 0.0000 0.0000  6 S 2.68
8 S 0.2369 0.2369 0.7631  1 Mg 2.68, 4 Pm 2.84
9 S 0.2369 0.7631 0.2369  1 Mg 2.68, 4 Pm 2.84
10 S 0.2369 0.7631 0.7631  1 Mg 2.68, 4 Pm 2.84
11 S 0.2500 0.2500 0.2500  6 Pm 2.83
12 S 0.7500 0.7500 0.7500  6 Pm 2.83
13 S 0.7631 0.2369 0.2369  1 Mg 2.68, 4 Pm 2.84
14 S 0.7631 0.2369 0.7631  1 Mg 2.68, 4 Pm 2.84
15 S 0.7631 0.7631 0.2369  1 Mg 2.68, 4 Pm 2.84


Record 8
KRb2VSe4 | PBE | relaxed

Output
Formation energy from raw total energies ... -88.2 kJ/mol of atoms
Space-group type ... Fddd (70)
Raw total energy ... -4.17 eV/atom

Lattice parameters (Å, degrees): 15.1712 14.1008 7.6657 82.71 67.21 30.08
With the nearest neighbours (Å) after each atom.
Sites, in units of the cell vectors:
1 K 0.1250 0.1250 0.1250  4 Se 3.10
2 K 0.8750 0.8750 0.8750  4 Se 3.10
3 Rb 0.0673 0.0673 0.6827  4 Se 3.59-3.71
4 Rb 0.3173 0.3173 0.9327  4 Se 3.59-3.71
5 Rb 0.6827 0.6827 0.0673  4 Se 3.59-3.71
6 Rb 0.9327 0.9327 0.3173  4 Se 3.59-3.71
7 V 0.3750 0.3750 0.3750  4 Se 2.31
8 V 0.6250 0.6250 0.6250  4 Se 2.31
9 Se 0.0517 0.5984 0.4948  1 V 2.31
10 Se 0.3550 0.4948 0.5984  1 V 2.31
11 Se 0.4016 0.9483 0.6450  1 V 2.31
12 Se 0.4948 0.3550 0.0517  1 V 2.31
13 Se 0.5052 0.6450 0.9483  1 V 2.31
14 Se 0.5984 0.0517 0.3550  1 V 2.31
15 Se 0.6450 0.5052 0.4016  1 V 2.31
16 Se 0.9483 0.4016 0.5052  1 V 2.31


Repeat the eighth record exactly.
KRb2VSe4 | PBE | relaxed

Output
Formation energy from raw total energies ... -88.2 kJ/mol of atoms
Space-group type ... Fddd (70)
Raw total energy ... -4.17 eV/atom

Lattice parameters (Å, degrees): 15.1712 14.1008 7.6657 82.71 67.21 30.08
With the nearest neighbours (Å) after each atom.
Sites, in units of the cell vectors:
1 K 0.1250 0.1250 0.1250  4 Se 3.10
2 K 0.8750 0.8750 0.8750  4 Se 3.10
3 Rb 0.0673 0.0673 0.6827  4 Se 3.59-3.71
4 Rb 0.3173 0.3173 0.9327  4 Se 3.59-3.71
5 Rb 0.6827 0.6827 0.0673  4 Se 3.59-3.71
6 Rb 0.9327 0.9327 0.3173  4 Se 3.59-3.71
7 V 0.3750 0.3750 0.3750  4 Se 2.31
8 V 0.6250 0.6250 0.6250  4 Se 2.31
9 Se 0.0517 0.5984 0.4948  1 V 2.31
10 Se 0.3550 0.4948 0.5984  1 V 2.31
11 Se 0.4016 0.9483 0.6450  1 V 2.31
12 Se 0.4948 0.3550 0.0517  1 V 2.31
13 Se 0.5052 0.6450 0.9483  1 V 2.31
14 Se 0.5984 0.0517 0.3550  1 V 2.31
15 Se 0.6450 0.5052 0.4016  1 V 2.31
16 Se 0.9483 0.4016 0.5052  1 V 2.31